[1]
{"formula": "Li2NpAsN", "functional": "PBE", "state": "optimized geometry", "cell": [[1.642, -5.982, 0.000], [1.642, 5.982, 0.000], [0.000, 0.000, 7.294]], "species": ["Li", "Li", "Li", "Li", "Np", "Np", "As", "As", "N", "N"], "fractional_positions": [[0.161, 0.839, 0.549], [0.161, 0.839, 0.951], [0.839, 0.161, 0.049], [0.839, 0.161, 0.451], [0.471, 0.529, 0.750], [0.529, 0.471, 0.250], [0.249, 0.751, 0.250], [0.751, 0.249, 0.750], [0.000, 0.000, 0.000], [0.000, 0.000, 0.500]], "space_group": "No. 63", "e_form_raw_kj_per_mol_fu": -328, "n_ef_per_ev_cell": 12.33}

---

[2]
{"formula": "Sn12Hg5Au3", "functional": "PBE", "state": "optimized geometry", "cell": [[-8.444, 8.444, 8.444], [8.444, -8.444, 8.444], [8.444, 8.444, -8.444]], "species": ["Sn", "Sn", "Sn", "Sn", "Sn", "Sn", "Sn", "Sn", "Sn", "Sn", "Sn", "Sn", "Sn", "Sn", "Sn", "Sn", "Sn", "Sn", "Sn", "Sn", "Sn", "Sn", "Sn", "Sn", "Sn", "Sn", "Sn", "Sn", "Sn", "Sn", "Sn", "Sn", "Sn", "Sn", "Sn", "Sn", "Sn", "Sn", "Sn", "Sn", "Sn", "Sn", "Sn", "Sn", "Sn", "Sn", "Sn", "Sn", "Hg", "Hg", "Hg", "Hg", "Hg", "Hg", "Hg", "Hg", "Hg", "Hg", "Hg", "Hg", "Hg", "Hg", "Hg", "Hg", "Hg", "Hg", "Hg", "Hg", "Au", "Au", "Au", "Au", "Au", "Au", "Au", "Au", "Au", "Au", "Au", "Au"], "fractional_positions": [[0.062, 0.631, 0.393], [0.062, 0.931, 0.669], [0.069, 0.238, 0.131], [0.069, 0.331, 0.938], [0.107, 0.738, 0.669], [0.107, 0.869, 0.438], [0.131, 0.069, 0.238], [0.131, 0.562, 0.893], [0.169, 0.238, 0.607], [0.169, 0.431, 0.562], [0.238, 0.131, 0.069], [0.238, 0.607, 0.169], [0.262, 0.331, 0.893], [0.262, 0.431, 0.369], [0.331, 0.893, 0.262], [0.331, 0.938, 0.069], [0.369, 0.262, 0.431], [0.369, 0.607, 0.938], [0.393, 0.062, 0.631], [0.393, 0.831, 0.762], [0.431, 0.369, 0.262], [0.431, 0.562, 0.169], [0.438, 0.107, 0.869], [0.438, 0.831, 0.569], [0.562, 0.169, 0.431], [0.562, 0.893, 0.131], [0.569, 0.438, 0.831], [0.569, 0.631, 0.738], [0.607, 0.169, 0.238], [0.607, 0.938, 0.369], [0.631, 0.393, 0.062], [0.631, 0.738, 0.569], [0.669, 0.062, 0.931], [0.669, 0.107, 0.738], [0.738, 0.569, 0.631], [0.738, 0.669, 0.107], [0.762, 0.393, 0.831], [0.762, 0.869, 0.931], [0.831, 0.569, 0.438], [0.831, 0.762, 0.393], [0.869, 0.438, 0.107], [0.869, 0.931, 0.762], [0.893, 0.131, 0.562], [0.893, 0.262, 0.331], [0.931, 0.669, 0.062], [0.931, 0.762, 0.869], [0.938, 0.069, 0.331], [0.938, 0.369, 0.607], [0.000, 0.000, 0.000], [0.000, 0.000, 0.500], [0.000, 0.500, 0.000], [0.000, 0.500, 0.500], [0.125, 0.750, 0.875], [0.125, 0.875, 0.250], [0.250, 0.125, 0.875], [0.250, 0.625, 0.375], [0.375, 0.250, 0.625], [0.375, 0.625, 0.750], [0.500, 0.000, 0.000], [0.500, 0.000, 0.500], [0.500, 0.500, 0.000], [0.500, 0.500, 0.500], [0.625, 0.375, 0.250], [0.625, 0.750, 0.375], [0.750, 0.375, 0.625], [0.750, 0.875, 0.125], [0.875, 0.125, 0.750], [0.875, 0.250, 0.125], [0.125, 0.250, 0.375], [0.125, 0.375, 0.750], [0.250, 0.375, 0.125], [0.250, 0.875, 0.625], [0.375, 0.125, 0.250], [0.375, 0.750, 0.125], [0.625, 0.250, 0.875], [0.625, 0.875, 0.750], [0.750, 0.125, 0.375], [0.750, 0.625, 0.875], [0.875, 0.625, 0.250], [0.875, 0.750, 0.625]], "space_group": "No. 230", "n_ef_per_ev_cell": 42.92, "formation_energy_kj_per_mol_fu": 165}

---

[3]
{"formula": "AlInPb2", "functional": "PBE", "state": "optimized geometry", "cell": [[2.118, -2.630, 0.000], [2.118, 2.630, 0.000], [0.000, 0.000, 9.793]], "species": ["Al", "In", "Pb", "Pb"], "fractional_positions": [[0.000, 0.000, 0.000], [0.500, 0.500, 0.211], [0.000, 0.000, 0.481], [0.500, 0.500, 0.771]], "space_group": "No. 35", "n_ef_per_ev_cell": 1.06, "relative_energy_ev_per_atom": 0.000, "formation_energy_kj_per_mol_fu": 50}

---

[4]
{"formula": "SbMo", "functional": "PBE", "state": "optimized geometry", "cell": [[5.522, 0.000, 0.000], [0.000, 6.530, 0.000], [0.000, 0.000, 9.414]], "species": ["Sb", "Sb", "Sb", "Sb", "Sb", "Sb", "Sb", "Sb", "Mo", "Mo", "Mo", "Mo", "Mo", "Mo", "Mo", "Mo"], "fractional_positions": [[0.094, 0.140, 0.060], [0.243, 0.667, 0.159], [0.257, 0.333, 0.659], [0.406, 0.860, 0.560], [0.594, 0.360, 0.940], [0.743, 0.833, 0.841], [0.757, 0.167, 0.341], [0.906, 0.640, 0.440], [0.079, 0.529, 0.896], [0.250, 0.144, 0.348], [0.250, 0.856, 0.848], [0.421, 0.471, 0.396], [0.579, 0.971, 0.104], [0.750, 0.356, 0.652], [0.750, 0.644, 0.152], [0.921, 0.029, 0.604]], "space_group": "No. 19", "e_form_raw_kj_per_mol_fu": 63, "n_ef_per_ev_cell": 6.68}

---

[5]
{"formula": "Na3Tm2RuO6", "functional": "PBE", "state": "optimized geometry", "cell": [[2.818, -4.856, 0.000], [2.818, 4.856, 0.000], [-1.841, 0.000, 5.567]], "species": ["Na", "Na", "Na", "Tm", "Tm", "Ru", "O", "O", "O", "O", "O", "O"], "fractional_positions": [[0.000, 0.000, 0.000], [0.341, 0.659, 0.000], [0.659, 0.341, 0.000], [0.168, 0.832, 0.500], [0.832, 0.168, 0.500], [0.500, 0.500, 0.500], [0.105, 0.427, 0.285], [0.249, 0.249, 0.708], [0.427, 0.105, 0.285], [0.573, 0.895, 0.715], [0.751, 0.751, 0.292], [0.895, 0.573, 0.715]], "space_group": "No. 12", "e_form_raw_kj_per_mol_fu": -2587, "n_ef_per_ev_cell": 8.91}

---

[6]
{"formula": "LaCu8Ag3", "functional": "PBE", "state": "optimized geometry", "cell": [[5.050, 0.000, 0.000], [-2.525, 4.373, 0.000], [0.000, 0.000, 8.326]], "species": ["La", "Cu", "Cu", "Cu", "Cu", "Cu", "Cu", "Cu", "Cu", "Ag", "Ag", "Ag"], "fractional_positions": [[0.000, 0.000, 0.000], [0.167, 0.334, 0.677], [0.167, 0.833, 0.677], [0.333, 0.667, 0.434], [0.333, 0.667, 0.932], [0.502, 0.004, 0.198], [0.502, 0.498, 0.198], [0.666, 0.833, 0.677], [0.996, 0.498, 0.198], [0.000, 0.000, 0.390], [0.667, 0.333, 0.490], [0.667, 0.333, 0.842]], "space_group": "No. 156", "n_ef_per_ev_cell": 4.44, "relative_energy_ev_per_atom": 0.005, "formation_energy_kj_per_mol_fu": -32}